Record 1
{"formula": "RbTl2MoH", "functional": "GGA-PBE", "state": "optimized geometry", "lattice_angstrom": [[6.254, 0.000, 0.000], [0.000, 6.254, 0.000], [0.000, 0.000, 4.247]], "species": ["Rb", "Tl", "Tl", "Mo", "H"], "frac_coords": [[0.000, 0.000, 0.000], [0.000, 0.500, 0.000], [0.500, 0.000, 0.000], [0.500, 0.500, 0.500], [0.000, 0.000, 0.500]], "space_group": "P4/mmm (123)", "polymorph_energy_mev_per_atom": 808}

***

Record 2
{"formula": "RbTl2MoH", "functional": "GGA-PBE", "state": "optimized geometry", "lattice_angstrom": [[5.772, 0.000, 0.000], [0.000, 5.772, 0.000], [0.000, 0.000, 3.613]], "species": ["Rb", "Tl", "Tl", "Mo", "H"], "frac_coords": [[0.000, 0.000, 0.000], [0.000, 0.500, 0.500], [0.500, 0.000, 0.500], [0.500, 0.500, 0.000], [0.500, 0.500, 0.500]], "space_group": "P4/mmm (123)", "polymorph_energy_mev_per_atom": 0}

***

Record 3
{"formula": "ReMoH", "functional": "GGA-PBE", "state": "optimized geometry", "lattice_angstrom": [[2.865, 0.000, 0.000], [0.000, 2.865, 0.000], [0.000, 0.000, 3.986]], "species": ["Re", "Mo", "H"], "frac_coords": [[0.000, 0.000, 0.000], [0.500, 0.500, 0.500], [0.000, 0.000, 0.500]], "space_group": "P4/mmm (123)", "polymorph_energy_mev_per_atom": 60}

***

Record 4
{"formula": "ReMoH", "functional": "GGA-PBE", "state": "optimized geometry", "lattice_angstrom": [[1.431, 0.826, 4.816], [-1.431, 0.826, 4.816], [0.000, -1.653, 4.816]], "species": ["Re", "Mo", "H"], "frac_coords": [[0.000, 0.000, 0.000], [0.518, 0.518, 0.518], [0.126, 0.126, 0.126]], "space_group": "R3m (160)", "polymorph_energy_mev_per_atom": 102}

***

Record 5
{"formula": "ReMoH", "functional": "GGA-PBE", "state": "optimized geometry", "lattice_angstrom": [[5.972, 0.000, 0.000], [0.000, 4.627, 0.000], [0.000, 0.000, 5.006]], "species": ["Re", "Re", "Re", "Re", "Mo", "Mo", "Mo", "Mo", "H", "H", "H", "H"], "frac_coords": [[0.250, 0.250, 0.249], [0.250, 0.750, 0.749], [0.750, 0.250, 0.251], [0.750, 0.750, 0.751], [0.001, 0.250, 0.690], [0.499, 0.750, 0.190], [0.501, 0.250, 0.810], [0.999, 0.750, 0.310], [0.001, 0.750, 0.945], [0.499, 0.250, 0.445], [0.501, 0.750, 0.555], [0.999, 0.250, 0.055]], "space_group": "Pnma (62)", "polymorph_energy_mev_per_atom": 316}

***

Record 6
{"formula": "ReMoH", "functional": "GGA-PBE", "state": "optimized geometry", "lattice_angstrom": [[2.842, 0.000, 0.000], [0.005, 4.937, 0.000], [1.414, 0.774, 4.669]], "species": ["Re", "Re", "Mo", "Mo", "H", "H"], "frac_coords": [[0.000, 0.000, 0.000], [0.500, 0.500, 0.000], [0.244, 0.753, 0.509], [0.756, 0.247, 0.491], [0.124, 0.369, 0.756], [0.876, 0.631, 0.244]], "space_group": "P-1 (2)", "polymorph_energy_mev_per_atom": 84}

***

Record 7
{"formula": "Re2MoH2", "functional": "GGA-PBE", "state": "optimized geometry", "lattice_angstrom": [[-1.451, 1.451, 6.151], [1.451, -1.451, 6.151], [1.451, 1.451, -6.151]], "species": ["Re", "Re", "Mo", "H", "H"], "frac_coords": [[0.149, 0.149, 0.000], [0.851, 0.851, 0.000], [0.500, 0.500, 0.000], [0.250, 0.750, 0.500], [0.750, 0.250, 0.500]], "space_group": "I4/mmm (139)", "polymorph_energy_mev_per_atom": 0}

***

Record 8
{"formula": "ReMoH", "functional": "GGA-PBE", "state": "optimized geometry", "lattice_angstrom": [[2.871, 0.000, 0.000], [0.000, 2.872, 0.000], [0.000, 0.000, 4.135]], "species": ["Re", "Mo", "H"], "frac_coords": [[0.000, 0.000, 0.000], [0.500, 0.500, 0.553], [0.500, 0.000, 0.267]], "space_group": "Pmm2 (25)", "polymorph_energy_mev_per_atom": 128}

***

Record 9
{"formula": "Re2MoH2", "functional": "GGA-PBE", "state": "optimized geometry", "lattice_angstrom": [[5.978, 0.000, 0.000], [0.000, 5.978, 0.000], [0.000, 0.000, 2.994]], "species": ["Re", "Re", "Re", "Re", "Mo", "Mo", "H", "H", "H", "H"], "frac_coords": [[0.146, 0.354, 0.000], [0.354, 0.854, 0.000], [0.646, 0.146, 0.000], [0.854, 0.646, 0.000], [0.000, 0.000, 0.500], [0.500, 0.500, 0.500], [0.216, 0.716, 0.500], [0.284, 0.216, 0.500], [0.716, 0.784, 0.500], [0.784, 0.284, 0.500]], "space_group": "P4/mbm (127)", "polymorph_energy_mev_per_atom": 143}

***

Record 10
{"formula": "ReMoH2", "functional": "GGA-PBE", "state": "optimized geometry", "lattice_angstrom": [[0.000, 2.663, 2.663], [2.663, 0.000, 2.663], [2.663, 2.663, 0.000]], "species": ["Re", "Mo", "H", "H"], "frac_coords": [[0.000, 0.000, 0.000], [0.500, 0.500, 0.500], [0.250, 0.250, 0.250], [0.750, 0.750, 0.750]], "space_group": "Fm-3m (225)", "polymorph_energy_mev_per_atom": 686}

***

Record 11
{"formula": "ReMoH", "functional": "GGA-PBE", "state": "optimized geometry", "lattice_angstrom": [[2.853, 0.000, 0.000], [-1.426, 2.470, 0.000], [0.000, 0.000, 4.638]], "species": ["Re", "Mo", "H"], "frac_coords": [[0.000, 0.000, 0.000], [0.333, 0.667, 0.469], [0.667, 0.333, 0.731]], "space_group": "P3m1 (156)", "polymorph_energy_mev_per_atom": 0}

***

Record 12
{"formula": "ReMoH2", "functional": "GGA-PBE", "state": "optimized geometry", "lattice_angstrom": [[1.465, 0.846, 4.949], [-1.465, 0.846, 4.949], [0.000, -1.691, 4.949]], "species": ["Re", "Mo", "H", "H"], "frac_coords": [[0.000, 0.000, 0.000], [0.500, 0.500, 0.500], [0.118, 0.118, 0.118], [0.882, 0.882, 0.882]], "space_group": "R-3m (166)", "polymorph_energy_mev_per_atom": 14}

***

Record 13
{"formula": "ReMoH2", "functional": "GGA-PBE", "state": "optimized geometry", "lattice_angstrom": [[-2.096, 2.096, 4.199], [2.096, -2.096, 4.199], [2.096, 2.096, -4.199]], "species": ["Re", "Re", "Mo", "Mo", "H", "H", "H", "H"], "frac_coords": [[0.000, 0.000, 0.000], [0.750, 0.250, 0.500], [0.250, 0.750, 0.500], [0.500, 0.500, 0.000], [0.118, 0.625, 0.993], [0.375, 0.368, 0.493], [0.632, 0.125, 0.007], [0.875, 0.882, 0.507]], "space_group": "I-42d (122)", "polymorph_energy_mev_per_atom": 0}

***

Record 14
{"formula": "Re2Mo4H", "functional": "GGA-PBE", "state": "optimized geometry", "lattice_angstrom": [[-1.942, 1.942, 6.760], [1.942, -1.942, 6.760], [1.942, 1.942, -6.760]], "species": ["Re", "Re", "Mo", "Mo", "Mo", "Mo", "H"], "frac_coords": [[0.140, 0.140, 0.000], [0.860, 0.860, 0.000], [0.000, 0.500, 0.500], [0.323, 0.323, 0.000], [0.500, 0.000, 0.500], [0.677, 0.677, 0.000], [0.500, 0.500, 0.000]], "space_group": "I4/mmm (139)"}

***

Record 15
{"formula": "ReMoH", "functional": "GGA-PBE", "state": "optimized geometry", "lattice_angstrom": [[-1.333, 1.333, 4.959], [1.333, -1.333, 4.959], [1.333, 1.333, -4.959]], "species": ["Re", "Mo", "H"], "frac_coords": [[0.000, 0.000, 0.000], [0.269, 0.269, 0.000], [0.709, 0.709, 0.000]], "space_group": "I4mm (107)", "polymorph_energy_mev_per_atom": 549}

***

Record 16
{"formula": "ReMoHRh2", "functional": "GGA-PBE", "state": "optimized geometry", "lattice_angstrom": [[3.866, 0.000, 0.000], [0.000, 3.866, 0.000], [0.000, 0.000, 4.068]], "species": ["Re", "Mo", "H", "Rh", "Rh"], "frac_coords": [[0.000, 0.000, 0.000], [0.500, 0.500, 0.000], [0.000, 0.000, 0.500], [0.000, 0.500, 0.500], [0.500, 0.000, 0.500]], "space_group": "P4/mmm (123)", "polymorph_energy_mev_per_atom": 3}

***

Record 17
{"formula": "ReMoHRh2", "functional": "GGA-PBE", "state": "optimized geometry", "lattice_angstrom": [[3.853, 0.000, 0.000], [0.000, 3.853, 0.000], [0.000, 0.000, 4.092]], "species": ["Re", "Mo", "H", "Rh", "Rh"], "frac_coords": [[0.000, 0.000, 0.000], [0.500, 0.500, 0.000], [0.500, 0.500, 0.500], [0.000, 0.500, 0.500], [0.500, 0.000, 0.500]], "space_group": "P4/mmm (123)", "polymorph_energy_mev_per_atom": 0}

***

Record 18
{"formula": "ReMo2HRh", "functional": "GGA-PBE", "state": "optimized geometry", "lattice_angstrom": [[4.872, 0.000, 0.000], [0.000, 4.872, 0.000], [0.000, 0.000, 3.042]], "species": ["Re", "Mo", "Mo", "H", "Rh"], "frac_coords": [[0.000, 0.000, 0.000], [0.000, 0.500, 0.500], [0.500, 0.000, 0.500], [0.500, 0.500, 0.000], [0.500, 0.500, 0.500]], "space_group": "P4/mmm (123)", "polymorph_energy_mev_per_atom": 977}

***

Record 19
{"formula": "ReMo2HRh", "functional": "GGA-PBE", "state": "optimized geometry", "lattice_angstrom": [[3.989, 0.000, 0.000], [0.000, 3.989, 0.000], [0.000, 0.000, 3.940]], "species": ["Re", "Mo", "Mo", "H", "Rh"], "frac_coords": [[0.000, 0.000, 0.000], [0.000, 0.500, 0.500], [0.500, 0.000, 0.500], [0.000, 0.000, 0.500], [0.500, 0.500, 0.000]], "space_group": "P4/mmm (123)", "polymorph_energy_mev_per_atom": 31}

***

Record 20
{"formula": "ReMo2HRh", "functional": "GGA-PBE", "state": "optimized geometry", "lattice_angstrom": [[4.018, 0.000, 0.000], [0.000, 4.018, 0.000], [0.000, 0.000, 3.877]], "species": ["Re", "Mo", "Mo", "H", "Rh"], "frac_coords": [[0.000, 0.000, 0.000], [0.000, 0.500, 0.500], [0.500, 0.000, 0.500], [0.500, 0.500, 0.500], [0.500, 0.500, 0.000]], "space_group": "P4/mmm (123)", "polymorph_energy_mev_per_atom": 0}

***

Record 21
{"formula": "ReMo2HRu", "functional": "GGA-PBE", "state": "optimized geometry", "lattice_angstrom": [[3.986, 0.000, 0.000], [0.000, 3.986, 0.000], [0.000, 0.000, 3.946]], "species": ["Re", "Mo", "Mo", "H", "Ru"], "frac_coords": [[0.000, 0.000, 0.000], [0.000, 0.500, 0.500], [0.500, 0.000, 0.500], [0.000, 0.000, 0.500], [0.500, 0.500, 0.000]], "space_group": "P4/mmm (123)", "polymorph_energy_mev_per_atom": 35}

***

Record 22
{"formula": "Re2MoHRu", "functional": "GGA-PBE", "state": "optimized geometry", "lattice_angstrom": [[3.961, 0.000, 0.000], [0.000, 3.961, 0.000], [0.000, 0.000, 3.936]], "species": ["Re", "Re", "Mo", "H", "Ru"], "frac_coords": [[0.000, 0.500, 0.000], [0.500, 0.000, 0.000], [0.000, 0.000, 0.500], [0.500, 0.500, 0.000], [0.500, 0.500, 0.500]], "space_group": "P4/mmm (123)", "polymorph_energy_mev_per_atom": 0}

***

Record 23
{"formula": "Re2MoHRu", "functional": "GGA-PBE", "state": "optimized geometry", "lattice_angstrom": [[3.943, 0.000, 0.000], [0.000, 3.943, 0.000], [0.000, 0.000, 3.976]], "species": ["Re", "Re", "Mo", "H", "Ru"], "frac_coords": [[0.000, 0.500, 0.000], [0.500, 0.000, 0.000], [0.000, 0.000, 0.500], [0.000, 0.000, 0.000], [0.500, 0.500, 0.500]], "space_group": "P4/mmm (123)", "polymorph_energy_mev_per_atom": 20}

***

Record 24
{"formula": "ReMo2HRu", "functional": "GGA-PBE", "state": "optimized geometry", "lattice_angstrom": [[4.000, 0.000, 0.000], [0.000, 4.000, 0.000], [0.000, 0.000, 3.910]], "species": ["Re", "Mo", "Mo", "H", "Ru"], "frac_coords": [[0.000, 0.000, 0.000], [0.000, 0.500, 0.500], [0.500, 0.000, 0.500], [0.500, 0.500, 0.500], [0.500, 0.500, 0.000]], "space_group": "P4/mmm (123)", "polymorph_energy_mev_per_atom": 0}

***

Record 25
{"formula": "Re2TcMoH", "functional": "GGA-PBE", "state": "optimized geometry", "lattice_angstrom": [[3.960, 0.000, 0.000], [0.000, 3.960, 0.000], [0.000, 0.000, 3.989]], "species": ["Re", "Re", "Tc", "Mo", "H"], "frac_coords": [[0.000, 0.500, 0.000], [0.500, 0.000, 0.000], [0.000, 0.000, 0.500], [0.500, 0.500, 0.500], [0.500, 0.500, 0.000]], "space_group": "P4/mmm (123)", "polymorph_energy_mev_per_atom": 13}

***

Record 26
{"formula": "Re2TcMoH", "functional": "GGA-PBE", "state": "optimized geometry", "lattice_angstrom": [[3.972, 0.000, 0.000], [0.000, 3.972, 0.000], [0.000, 0.000, 3.962]], "species": ["Re", "Re", "Tc", "Mo", "H"], "frac_coords": [[0.000, 0.500, 0.000], [0.500, 0.000, 0.000], [0.000, 0.000, 0.500], [0.500, 0.500, 0.500], [0.000, 0.000, 0.000]], "space_group": "P4/mmm (123)", "polymorph_energy_mev_per_atom": 0}

***

Record 27
{"formula": "ReTcMo2H", "functional": "GGA-PBE", "state": "optimized geometry", "lattice_angstrom": [[4.004, 0.000, 0.000], [0.000, 4.004, 0.000], [0.000, 0.000, 3.951]], "species": ["Re", "Tc", "Mo", "Mo", "H"], "frac_coords": [[0.000, 0.000, 0.000], [0.500, 0.500, 0.000], [0.000, 0.500, 0.500], [0.500, 0.000, 0.500], [0.500, 0.500, 0.500]], "space_group": "P4/mmm (123)", "polymorph_energy_mev_per_atom": 0}

***

Record 28
{"formula": "ReTc2MoH", "functional": "GGA-PBE", "state": "optimized geometry", "lattice_angstrom": [[3.945, 0.000, 0.000], [0.000, 3.945, 0.000], [0.000, 0.000, 3.983]], "species": ["Re", "Tc", "Tc", "Mo", "H"], "frac_coords": [[0.000, 0.000, 0.000], [0.000, 0.500, 0.500], [0.500, 0.000, 0.500], [0.500, 0.500, 0.000], [0.500, 0.500, 0.500]], "space_group": "P4/mmm (123)", "polymorph_energy_mev_per_atom": 0}

***

no.,raw total energy (eV per atom),density (g cm⁻³)
1,-2.476,5.91
2,-3.283,8.16
3,-8.755,14.37
4,-8.712,13.76
5,-8.498,13.60
6,-8.731,14.35
7,-8.222,15.09
8,-8.686,13.79
9,-8.078,14.60
10,-6.579,12.49
11,-8.815,14.39
12,-7.251,12.83
13,-7.265,12.79
14,-9.763,12.33
15,-8.265,13.34
16,-8.314,13.36
17,-8.317,13.37
18,-7.997,11.09
19,-8.943,12.76
20,-8.973,12.79
21,-9.237,12.72
22,-9.572,15.34
23,-9.552,15.32
24,-9.273,12.74
25,-9.749,15.06
26,-9.762,15.07
27,-9.447,12.51
28,-9.396,12.84